1.
Entry from Alexandria via LeMat-Bulk: Y2MgCu4 after structural relaxation (GGA-PBEsol).

abc: 7.457 7.457 9.414
angles: 90.00 90.00 90.00
Space group I4/mcm (No. 140)
Unique sites:
Y1 0.161 0.339 0.000 (multiplicity 8)
Mg1 0.000 0.000 0.250 (multiplicity 4)
Cu1 0.145 0.355 0.306 (multiplicity 16)

Results
- Energy relative to the elements: -0.147 eV per atom

---

2.
Entry from Alexandria via LeMat-Bulk: Y2Mg3Cu4 after structural relaxation (GGA-PBEsol).

abc: 14.834 4.318 5.300
angles: 90.00 100.68 90.00
Space group C2/m (No. 12)
Unique sites:
Y1 0.167 0.000 0.094 (multiplicity 4)
Mg1 0.000 0.500 0.000 (multiplicity 2)
Mg2 0.108 0.500 0.565 (multiplicity 4)
Cu1 0.002 0.000 0.721 (multiplicity 4)
Cu2 0.235 0.000 0.622 (multiplicity 4)

Results
- Energy relative to the elements: -0.142 eV per atom

---

3.
Entry from Alexandria via LeMat-Bulk: Y3MgCu after structural relaxation (GGA-PBEsol).

abc: 4.353 4.353 17.127
angles: 90.00 90.00 90.00
Space group I4mm (No. 107)
Unique sites:
Y1 0.000 0.000 0.000 (multiplicity 2)
Y2 0.000 0.500 0.346 (multiplicity 4)
Mg1 0.000 0.000 0.197 (multiplicity 2)
Cu1 0.000 0.000 0.454 (multiplicity 2)

Results
- Energy relative to the elements: 0.435 eV per atom